Below is a relaxed structure of In2Te5, with properties calculated at the PBEsol level.

Cell: 4.2993 8.4177 13.3578 Å, 90.00 89.99 75.20°
Sites, in units of the cell vectors:
1 In 0.9907 0.0104 0.1412
2 In 0.0012 0.9896 0.6412
3 In 0.6113 0.7680 0.3125
4 In 0.3793 0.2320 0.8125
5 Te 0.0037 0.9837 0.3567
6 Te 0.9874 0.0163 0.8567
7 Te 0.5992 0.7934 0.0979
8 Te 0.3926 0.2066 0.5979
9 Te 0.3019 0.3888 0.2323
10 Te 0.6906 0.6112 0.7323
11 Te 0.7703 0.4524 0.3867
12 Te 0.2227 0.5476 0.8867
13 Te 0.8310 0.3312 0.0756
14 Te 0.1622 0.6688 0.5756

Properties
total magnetic moment = 0.0 μB/cell
crystal system = orthorhombic
formation energy from raw total energies = -0.19 eV per atom
space-group type = Cmc2_1, No. 36

Below is a relaxed structure of InTe2, with properties calculated at the PBEsol level.

Cell: 4.3356 4.3785 10.9095 Å, 91.06 90.00 119.68°
Sites, in units of the cell vectors:
1 Te 0.8706 0.7412 0.9007
2 Te 0.1962 0.3924 0.6008
3 Te 0.8038 0.6076 0.3992
4 Te 0.1294 0.2588 0.0993
5 In 0.4782 0.9564 0.2536
6 In 0.5218 0.0436 0.7464

Properties
total magnetic moment = 0.0 μB/cell
energy relative to the lowest polymorph listed for this composition = 0.07 eV per formula unit
crystal system = monoclinic
formation energy from raw total energies = -0.17 eV per atom
space-group type = C2/m, No. 12

Below is a relaxed structure of In2Te, with properties calculated at the PBEsol level.

Cell: 5.4886 5.4886 6.4388 Å, 90.00 90.00 120.00°
Sites, in units of the cell vectors:
1 In 0.0000 0.0000 0.0000
2 In 0.0000 0.0000 0.5000
3 In 0.6667 0.3333 0.7500
4 In 0.3333 0.6667 0.2500
5 Te 0.3333 0.6667 0.7500
6 Te 0.6667 0.3333 0.2500

Properties
total magnetic moment = 0.0 μB/cell
crystal system = hexagonal
formation energy from raw total energies = -0.10 eV per atom
space-group type = P6_3/mmc, No. 194

Below is a relaxed structure of Ti3InTe, with properties calculated at the PBEsol level.

Cell: 4.9251 4.9251 4.9251 Å, 90.00 90.00 90.00°
Last column: magnetic moment on the atom in μB.
Sites, in units of the cell vectors:
1 Te 0.0000 0.0000 0.0000  -0.01
2 Ti 0.0000 0.5000 0.0000  0.55
3 Ti 0.0000 0.0000 0.5000  0.55
4 Ti 0.5000 0.0000 0.0000  0.55
5 In 0.5000 0.5000 0.5000  -0.03

Properties
total magnetic moment = 2.1 μB/cell
energy relative to the lowest polymorph listed for this composition = 0.00 eV per formula unit
crystal system = cubic
formation energy from raw total energies = 0.58 eV per atom
space-group type = Pm-3m, No. 221

Below is a relaxed structure of ZrTiInTe2, with properties calculated at the PBEsol level.

Cell: 4.9511 5.4331 5.4331 Å, 90.00 90.00 90.00°
Last column: magnetic moment on the atom in μB.
Sites, in units of the cell vectors:
1 Te 0.0000 0.0000 0.5000  -0.01
2 Te 0.0000 0.5000 0.0000  -0.01
3 Ti 0.5000 0.0000 0.0000  0.99
4 Zr 0.5000 0.5000 0.5000  -0.21
5 In 0.0000 0.0000 0.0000  0.03

Properties
total magnetic moment = 1.0 μB/cell
crystal system = tetragonal
formation energy from raw total energies = 1.01 eV per atom
space-group type = P4/mmm, No. 123

Below is a relaxed structure of TlIn2Te, with properties calculated at the PBEsol level.

Cell: 5.3957 5.3957 5.3957 Å, 60.00 60.00 60.00°
Sites, in units of the cell vectors:
1 Tl 0.5000 0.5000 0.5000
2 Te 0.0000 0.0000 0.0000
3 In 0.2500 0.2500 0.2500
4 In 0.7500 0.7500 0.7500

Properties
total magnetic moment = 0.0 μB/cell
energy relative to the lowest polymorph listed for this composition = 0.42 eV per formula unit
crystal system = cubic
formation energy from raw total energies = 0.00 eV per atom
space-group type = Fm-3m, No. 225

Below is a relaxed structure of Tl2InTe, with properties calculated at the PBEsol level.

Cell: 5.4943 5.4943 5.4943 Å, 60.00 60.00 60.00°
Sites, in units of the cell vectors:
1 Tl 0.2500 0.2500 0.2500
2 Tl 0.7500 0.7500 0.7500
3 Te 0.5000 0.5000 0.5000
4 In 0.0000 0.0000 0.0000

Properties
total magnetic moment = 0.0 μB/cell
energy relative to the lowest polymorph listed for this composition = 0.44 eV per formula unit
crystal system = cubic
formation energy from raw total energies = -0.03 eV per atom
space-group type = Fm-3m, No. 225

Below is a relaxed structure of TlIn2Te, with properties calculated at the PBEsol level.

Cell: 4.1218 4.1218 8.3066 Å, 75.63 75.63 60.00°
Sites, in units of the cell vectors:
1 Tl 0.0000 0.0000 0.0000
2 Te 0.5000 0.5000 0.5000
3 In 0.2470 0.2470 0.2590
4 In 0.7530 0.7530 0.7410

Properties
total magnetic moment = 0.0 μB/cell
energy relative to the lowest polymorph listed for this composition = 0.03 eV per formula unit
crystal system = trigonal
formation energy from raw total energies = -0.10 eV per atom
space-group type = R-3m, No. 166